A plane-wave DFT calculation with GGA-PBE was carried out for a geometry-optimized Ca2ZrFeH structure.

Cell lengths 6.155, 4.257, 6.155 Å; angles 90.00, 90.00, 90.00 degrees
Sites, in units of the cell vectors:
Zr: 0.000 0.000 0.000
Ca: 0.500 0.000 0.000
Fe: 0.000 0.500 0.000
H: 0.500 0.500 0.500
Ca: 0.000 0.000 0.500

## Properties
**Symmetry**: P4/mmm (123)
**E_tot**: -18.3 eV per cell
**Calculated volume**: 161.27 Å³/f.u.
**DOS at the Fermi energy**: 4.838 states/eV per cell